(1)
This record from the Alexandria database describes MnNbPb after structural relaxation. The functional is PBE-GGA.

```
data_MnNbPb
_symmetry_space_group_name_H-M 'P -1'
_symmetry_Int_Tables_number 2
_cell_length_a 3.153
_cell_length_b 5.938
_cell_length_c 6.975
_cell_angle_alpha 64.85
_cell_angle_beta 79.33
_cell_angle_gamma 89.76
loop_
_symmetry_equiv_pos_as_xyz
'x,y,z'
'-x,-y,-z'
loop_
_atom_site_label
_atom_site_type_symbol
_atom_site_fract_x
_atom_site_fract_y
_atom_site_fract_z
Mn1 Mn 0.003 0.228 0.001
Nb1 Nb 0.478 0.879 0.249
Pb1 Pb 0.295 0.351 0.305
```

Computed properties:
The relative energy among the computed polymorphs comes out at 11.31 kJ/mol of atoms.

***

(2)
This record from the Alexandria database describes MnNb4Pb2 after structural relaxation. The functional is PBE-GGA.

```
data_MnNb4Pb2
_symmetry_space_group_name_H-M 'I 4/m m m'
_symmetry_Int_Tables_number 139
_symmetry_space_group_name_Hall '-I 4 2'
_cell_length_a 4.584
_cell_length_b 4.584
_cell_length_c 14.780
_cell_angle_alpha 90.00
_cell_angle_beta 90.00
_cell_angle_gamma 90.00
loop_
_atom_site_label
_atom_site_type_symbol
_atom_site_fract_x
_atom_site_fract_y
_atom_site_fract_z
Mn1 Mn 0.000 0.000 0.000
Nb1 Nb 0.000 0.000 0.156
Nb2 Nb 0.000 0.500 0.000
Pb1 Pb 0.000 0.000 0.356
```

Computed properties:
As for the total energy: -7.538 eV/atom.

***

(3)
This record from the Alexandria database describes MnNbPb after structural relaxation. The functional is PBE-GGA.

```
data_MnNbPb
_symmetry_space_group_name_H-M 'C m c m'
_symmetry_Int_Tables_number 63
_symmetry_space_group_name_Hall '-C 2c 2'
_cell_length_a 3.738
_cell_length_b 21.144
_cell_length_c 3.225
_cell_angle_alpha 90.00
_cell_angle_beta 90.00
_cell_angle_gamma 90.00
loop_
_atom_site_label
_atom_site_type_symbol
_atom_site_fract_x
_atom_site_fract_y
_atom_site_fract_z
Mn1 Mn 0.000 0.039 0.250
Nb1 Nb 0.000 0.435 0.250
Pb1 Pb 0.000 0.174 0.250
```

Computed properties:
The relative energy among the computed polymorphs comes out at 0.22 kJ/mol of atoms.

***

(4)
This record from the Alexandria database describes MnNbPb3 after structural relaxation. The functional is PBE-GGA.

```
data_MnNbPb3
_symmetry_space_group_name_H-M 'P m -3 m'
_symmetry_Int_Tables_number 221
_symmetry_space_group_name_Hall '-P 4 2 3'
_cell_length_a 5.486
_cell_length_b 5.486
_cell_length_c 5.486
_cell_angle_alpha 90.00
_cell_angle_beta 90.00
_cell_angle_gamma 90.00
loop_
_atom_site_label
_atom_site_type_symbol
_atom_site_fract_x
_atom_site_fract_y
_atom_site_fract_z
Mn1 Mn 0.000 0.000 0.000
Nb1 Nb 0.500 0.500 0.500
Pb1 Pb 0.000 0.500 0.500
```

Computed properties:
As for the total energy: -4.618 eV/atom.

***

(5)
This record from the Alexandria database describes Mn3NbPb after structural relaxation. The functional is PBE-GGA.

```
data_Mn3NbPb
_symmetry_space_group_name_H-M 'P m -3 m'
_symmetry_Int_Tables_number 221
_symmetry_space_group_name_Hall '-P 4 2 3'
_cell_length_a 4.632
_cell_length_b 4.632
_cell_length_c 4.632
_cell_angle_alpha 90.00
_cell_angle_beta 90.00
_cell_angle_gamma 90.00
loop_
_atom_site_label
_atom_site_type_symbol
_atom_site_fract_x
_atom_site_fract_y
_atom_site_fract_z
Mn1 Mn 0.000 0.000 0.500
Nb1 Nb 0.500 0.500 0.500
Pb1 Pb 0.000 0.000 0.000
```

Computed properties:
The relative energy among the computed polymorphs comes out at 119.44 kJ/mol of atoms.

***

(6)
This record from the Alexandria database describes MnNbPb after structural relaxation. The functional is PBE-GGA.

```
data_MnNbPb
_symmetry_space_group_name_H-M 'C 1 m 1'
_symmetry_Int_Tables_number 8
_cell_length_a 10.475
_cell_length_b 3.286
_cell_length_c 8.249
_cell_angle_alpha 90.00
_cell_angle_beta 125.99
_cell_angle_gamma 90.00
loop_
_symmetry_equiv_pos_as_xyz
'x,y,z'
'x,-y,z'
'x+1/2,y+1/2,z'
'x+1/2,-y+1/2,z'
loop_
_atom_site_label
_atom_site_type_symbol
_atom_site_fract_x
_atom_site_fract_y
_atom_site_fract_z
Mn1 Mn 0.000 0.000 0.000
Mn2 Mn 0.217 0.500 0.693
Nb1 Nb 0.038 0.000 0.459
Nb2 Nb 0.455 0.000 0.725
Pb1 Pb 0.216 0.500 0.347
Pb2 Pb 0.275 0.000 0.012
```

Computed properties:
The relative energy among the computed polymorphs comes out at 17.64 kJ/mol of atoms.

***

(7)
This record from the Alexandria database describes MnNbPb2 after structural relaxation. The functional is PBE-GGA.

```
data_MnNbPb2
_symmetry_space_group_name_H-M 'I -4 2 d'
_symmetry_Int_Tables_number 122
_symmetry_space_group_name_Hall 'I -4 2bw'
_cell_length_a 7.657
_cell_length_b 7.657
_cell_length_c 6.212
_cell_angle_alpha 90.00
_cell_angle_beta 90.00
_cell_angle_gamma 90.00
loop_
_atom_site_label
_atom_site_type_symbol
_atom_site_fract_x
_atom_site_fract_y
_atom_site_fract_z
Mn1 Mn 0.000 0.000 0.000
Nb1 Nb 0.000 0.000 0.500
Pb1 Pb 0.231 0.250 0.125
```

Computed properties:
The relative energy among the computed polymorphs comes out at 0.00 kJ/mol of atoms.

***

(8)
This record from the Alexandria database describes MnNbPb after structural relaxation. The functional is PBE-GGA.

```
data_MnNbPb
_symmetry_space_group_name_H-M 'P -1'
_symmetry_Int_Tables_number 2
_cell_length_a 3.138
_cell_length_b 4.945
_cell_length_c 8.029
_cell_angle_alpha 101.13
_cell_angle_beta 91.08
_cell_angle_gamma 103.78
loop_
_symmetry_equiv_pos_as_xyz
'x,y,z'
'-x,-y,-z'
loop_
_atom_site_label
_atom_site_type_symbol
_atom_site_fract_x
_atom_site_fract_y
_atom_site_fract_z
Mn1 Mn 0.158 0.277 0.459
Nb1 Nb 0.359 0.805 0.326
Pb1 Pb 0.320 0.710 0.858
```

Computed properties:
The relative energy among the computed polymorphs comes out at 10.79 kJ/mol of atoms.

***

(9)
This record from the Alexandria database describes MnNbPb after structural relaxation. The functional is PBE-GGA.

```
data_MnNbPb
_symmetry_space_group_name_H-M 'P 1'
_symmetry_Int_Tables_number 1
_cell_length_a 3.185
_cell_length_b 5.509
_cell_length_c 7.453
_cell_angle_alpha 108.20
_cell_angle_beta 90.14
_cell_angle_gamma 106.77
loop_
_symmetry_equiv_pos_as_xyz
'x,y,z'
loop_
_atom_site_label
_atom_site_type_symbol
_atom_site_fract_x
_atom_site_fract_y
_atom_site_fract_z
Mn1 Mn 0.000 0.000 0.000
Mn2 Mn 0.342 0.686 0.792
Nb1 Nb 0.465 0.927 0.219
Nb2 Nb 0.701 0.402 0.990
Pb1 Pb 0.037 0.078 0.632
Pb2 Pb 0.232 0.461 0.360
```

Computed properties:
The relative energy among the computed polymorphs comes out at 10.08 kJ/mol of atoms.

***

(10)
This record from the Alexandria database describes MnNbPb after structural relaxation. The functional is PBE-GGA.

```
data_MnNbPb
_symmetry_space_group_name_H-M 'I m a 2'
_symmetry_Int_Tables_number 46
_cell_length_a 5.412
_cell_length_b 6.402
_cell_length_c 6.462
_cell_angle_alpha 90.00
_cell_angle_beta 90.00
_cell_angle_gamma 90.00
loop_
_symmetry_equiv_pos_as_xyz
'x,y,z'
'-x,-y,z'
'-x+1/2,y,z'
'x+1/2,-y,z'
'x+1/2,y+1/2,z+1/2'
'-x+1/2,-y+1/2,z+1/2'
'-x,y+1/2,z+1/2'
'x,-y+1/2,z+1/2'
loop_
_atom_site_label
_atom_site_type_symbol
_atom_site_fract_x
_atom_site_fract_y
_atom_site_fract_z
Mn1 Mn 0.000 0.000 0.000
Nb1 Nb 0.250 0.185 0.713
Pb1 Pb 0.250 0.646 0.878
```

Computed properties:
The relative energy among the computed polymorphs comes out at 19.20 kJ/mol of atoms.

***

(11)
This record from the Alexandria database describes MnNbPb after structural relaxation. The functional is PBE-GGA.

```
data_MnNbPb
_symmetry_space_group_name_H-M 'P 1 m 1'
_symmetry_Int_Tables_number 6
_cell_length_a 6.073
_cell_length_b 3.208
_cell_length_c 6.082
_cell_angle_alpha 90.00
_cell_angle_beta 104.62
_cell_angle_gamma 90.00
loop_
_symmetry_equiv_pos_as_xyz
'x,y,z'
'x,-y,z'
loop_
_atom_site_label
_atom_site_type_symbol
_atom_site_fract_x
_atom_site_fract_y
_atom_site_fract_z
Mn1 Mn 0.000 0.000 0.000
Mn2 Mn 0.491 0.000 0.997
Nb1 Nb 0.150 0.500 0.775
Nb2 Nb 0.660 0.500 0.784
Pb1 Pb 0.331 0.000 0.396
Pb2 Pb 0.805 0.500 0.316
```

Computed properties:
The relative energy among the computed polymorphs comes out at 16.32 kJ/mol of atoms.

***

(12)
This record from the Alexandria database describes MnNbRh2Pb after structural relaxation. The functional is PBE-GGA.

```
data_MnNbRh2Pb
_symmetry_space_group_name_H-M 'P 4/m m m'
_symmetry_Int_Tables_number 123
_symmetry_space_group_name_Hall '-P 4 2'
_cell_length_a 4.448
_cell_length_b 4.448
_cell_length_c 4.905
_cell_angle_alpha 90.00
_cell_angle_beta 90.00
_cell_angle_gamma 90.00
loop_
_atom_site_label
_atom_site_type_symbol
_atom_site_fract_x
_atom_site_fract_y
_atom_site_fract_z
Mn1 Mn 0.000 0.000 0.000
Nb1 Nb 0.500 0.500 0.500
Rh1 Rh 0.000 0.500 0.000
Pb1 Pb 0.000 0.000 0.500
```

Computed properties:
As for the total energy: -6.482 eV/atom.